This record from Alexandria describes a relaxed BeTl2VO4 crystal. The functional is GGA+U.

Cell: 4.7759 6.8148 9.7929 Å, 85.10 75.89 69.49°
With the nearest neighbours (Å) after each atom.
Fractional positions:
Be (0.7500, 0.5000, 0.5000)  4 O 1.67
Be (0.0000, 0.0000, 0.0000)  4 O 1.67
Tl (0.1689, 0.0000, 0.6622)  2 O 2.63
Tl (0.8311, 0.0000, 0.3378)  2 O 2.63
Tl (0.5811, 0.5000, 0.8378)  2 O 2.63
Tl (0.9189, 0.5000, 0.1622)  2 O 2.63
V (0.2500, 0.5000, 0.5000)  4 O 1.83
V (0.5000, 0.0000, 0.0000)  4 O 1.83
O (0.2400, 0.8691, 0.1015)  1 Be 1.67, 1 V 1.83
O (0.2106, 0.1309, 0.8985)  1 Be 1.67, 1 V 1.83
O (0.8909, 0.8691, 0.8985)  1 Be 1.67, 1 V 1.83
O (0.6585, 0.1309, 0.1015)  1 Be 1.67, 1 V 1.83
O (0.5100, 0.6309, 0.3985)  1 Be 1.67, 1 V 1.83
O (0.5394, 0.3691, 0.6015)  1 Be 1.67, 1 V 1.83
O (0.8591, 0.6309, 0.6015)  1 Be 1.67, 1 V 1.83
O (0.0915, 0.3691, 0.3985)  1 Be 1.67, 1 V 1.83

## Properties
final energy: -95.8 eV per cell
crystal system: orthorhombic